1.
Density functional theory data (PBE) for a relaxed NdOsNO crystal.

```
NdOsNO
1.0
4.980 0.000 0.000
0.000 4.980 0.000
0.000 0.000 4.403
Nd Os N O
2 2 2 2
Cartesian
1.245 3.735 0.000 Nd
3.735 1.245 0.000 Nd
1.245 1.245 2.200 Os
3.735 3.735 2.203 Os
1.245 1.245 0.009 N
3.735 3.735 4.394 N
1.245 3.735 2.201 O
3.735 1.245 2.201 O
```

Properties
**Total DFT energy (no corrections)**: -7.67 eV per atom
**ΔE to the lowest computed polymorph**: 1008.3 meV per atom


2.
Density functional theory data (PBE) for a relaxed NdOsNO crystal.

```
NdOsNO
1.0
5.534 0.000 0.000
0.000 8.828 0.000
0.000 0.000 4.747
Nd Os N O
4 4 4 4
Cartesian
0.071 1.436 0.000 Nd
2.696 1.436 2.373 Nd
2.838 7.392 0.000 Nd
5.463 7.392 2.373 Nd
0.622 4.484 0.879 Os
2.145 4.484 3.252 Os
3.389 4.344 0.879 Os
4.912 4.344 3.252 Os
0.707 5.670 4.009 N
2.060 5.670 1.635 N
3.474 3.159 4.009 N
4.827 3.159 1.635 N
0.476 0.814 2.396 O
2.291 0.814 0.023 O
3.243 8.014 2.396 O
5.057 8.014 0.023 O
```

Properties
**Total DFT energy (no corrections)**: -8.68 eV per atom
**ΔE to the lowest computed polymorph**: 0.0 meV per atom


> Which of these has the highest ΔE to the lowest computed polymorph?

number 1


> Which of these has the lowest ΔE to the lowest computed polymorph?

number 2


> Which of these has the highest total DFT energy (no corrections)?

number 1


> ΔE to the lowest computed polymorph of number 1 (NdOsNO)?

1008.3 meV per atom